Here is a relaxed structure of Pm6DyHoTm2 from Alexandria via LeMat-Bulk. Energies are from PBE.

Output
**Calculated formation energy**: 117 meV/atom
**M_tot**: 0.000 μB per formula unit
**Energy**: -4.5452 eV per atom
**Space group**: C2/c (15)
**Fermi-level density of states**: 1.4394 states/eV/atom

Structure (extended XYZ):
```
20
Lattice="4.608 -7.595 0.000 4.608 7.595 0.000 -1.206 0.000 9.495" Properties=species:S:1:pos:R:3 pbc="T T T"
Pm 2.416 4.195 1.765
Pm 3.378 4.904 5.264
Pm 4.030 4.904 8.979
Pm 3.246 1.662 3.626
Pm 6.197 4.195 2.982
Pm 5.368 1.662 1.122
Pm 2.643 -1.662 8.373
Pm 1.813 -4.195 6.513
Pm 4.765 -1.662 5.870
Pm 3.980 -4.904 0.517
Pm 4.633 -4.904 4.231
Pm 5.595 -4.195 7.730
Dy 4.307 7.160 2.374
Dy 3.704 -7.160 7.122
Ho 3.704 1.359 7.122
Ho 4.307 -1.359 2.374
Tm 2.247 0.744 0.444
Tm 1.644 -0.744 5.192
Tm 6.366 0.744 4.304
Tm 5.764 -0.744 9.052
```

Here is a relaxed structure of InPd2F8 from Alexandria via LeMat-Bulk. Energies are from PBE.

Output
**M_tot**: 0.577 μB per formula unit
**Energy**: -4.1839 eV per atom
**Space group**: C2/m (12)
**Fermi-level density of states**: 0.2566 states/eV/atom

Structure (extended XYZ):
```
11
Lattice="4.716 -3.442 0.000 4.716 3.442 0.000 -0.295 0.000 4.961" Properties=species:S:1:pos:R:3 pbc="T T T"
In 0.000 0.000 0.000
Pd 3.357 0.000 3.735
Pd 5.780 0.000 1.226
F 3.384 2.010 3.781
F 1.345 0.000 3.655
F 5.753 2.010 1.180
F 3.812 0.000 1.263
F 5.325 0.000 3.698
F 3.384 -2.010 3.781
F 7.792 0.000 1.306
F 5.753 -2.010 1.180
```